# 1
# InAsW

A geometry-optimized InAsW structure (PBE, OQMD).

POSCAR file:
```
InAsW
1.0
0.000 3.177 3.177
3.177 0.000 3.177
3.177 3.177 0.000
In As W
1 1 1
Direct
0.000 0.000 0.000 In
0.500 0.500 0.500 As
0.750 0.750 0.750 W
```

Results
Relative energy among the computed polymorphs in meV/atom: 0


# 2
# TaCoAs

A geometry-optimized TaCoAs structure (PBE, OQMD).

POSCAR file:
```
TaCoAs
1.0
6.230 0.000 0.000
-3.115 5.396 0.000
0.000 0.000 3.776
Ta Co As
3 3 3
Direct
0.000 0.589 0.000 Ta
0.411 0.411 0.000 Ta
0.589 0.000 0.000 Ta
0.000 0.259 0.500 Co
0.259 0.000 0.500 Co
0.741 0.741 0.500 Co
0.000 0.000 0.000 As
0.333 0.667 0.500 As
0.667 0.333 0.500 As
```

Results
Total energy in eV per atom: -8.2313


# 3
# PmThMo

A geometry-optimized PmThMo structure (PBE, OQMD).

POSCAR file:
```
PmThMo
1.0
0.000 3.509 3.509
3.509 0.000 3.509
3.509 3.509 0.000
Pm Th Mo
1 1 1
Direct
0.000 0.000 0.000 Pm
0.250 0.250 0.250 Th
0.500 0.500 0.500 Mo
```

Results
Energy of formation in meV/atom: 1154


# 4
# BePtSeO

A geometry-optimized BePtSeO structure (PBE, OQMD).

POSCAR file:
```
BePtSeO
1.0
4.007 0.000 0.000
0.000 4.007 0.000
0.000 0.000 7.644
Be Pt Se O
2 2 2 2
Direct
0.250 0.250 0.129 Be
0.750 0.750 0.871 Be
0.250 0.250 0.417 Pt
0.750 0.750 0.583 Pt
0.250 0.250 0.850 Se
0.750 0.750 0.150 Se
0.250 0.750 0.500 O
0.750 0.250 0.500 O
```

Results
Relative energy among the computed polymorphs in meV/atom: 869


# 5
# BaThAg

A geometry-optimized BaThAg structure (PBE, OQMD).

POSCAR file:
```
BaThAg
1.0
0.000 3.802 3.802
3.802 0.000 3.802
3.802 3.802 0.000
Ba Th Ag
1 1 1
Direct
0.000 0.000 0.000 Ba
0.500 0.500 0.500 Th
0.250 0.250 0.250 Ag
```

Results
Relative energy among the computed polymorphs in meV/atom: 0


# 6
# Zr2Ni3Sn2

A geometry-optimized Zr2Ni3Sn2 structure (PBE, OQMD).

POSCAR file:
```
Zr2Ni3Sn2
1.0
2.201 1.271 7.233
-2.201 1.271 7.233
0.000 -2.542 7.233
Zr Ni Sn
2 3 2
Direct
0.000 0.000 0.000 Zr
0.493 0.493 0.493 Zr
0.372 0.372 0.372 Ni
0.618 0.618 0.618 Ni
0.871 0.871 0.871 Ni
0.245 0.245 0.245 Sn
0.748 0.748 0.748 Sn
```

Results
Total energy in eV per atom: -6.5258


# 7
# MgBe2Zn

A geometry-optimized MgBe2Zn structure (PBE, OQMD).

POSCAR file:
```
MgBe2Zn
1.0
0.000 2.933 2.933
2.933 0.000 2.933
2.933 2.933 0.000
Mg Be Zn
1 2 1
Direct
0.000 0.000 0.000 Mg
0.250 0.250 0.250 Be
0.500 0.500 0.500 Be
0.750 0.750 0.750 Zn
```

Results
Total energy in eV per atom: -2.2519


# 8
# Dy2ErNi2

A geometry-optimized Dy2ErNi2 structure (PBE, OQMD).

POSCAR file:
```
Dy2ErNi2
1.0
6.619 -1.817 0.000
6.619 1.817 0.000
-2.511 0.000 9.124
Dy Er Ni
4 2 4
Direct
0.132 0.132 0.497 Dy
0.144 0.144 0.868 Dy
0.856 0.856 0.132 Dy
0.868 0.868 0.503 Dy
0.403 0.403 0.827 Er
0.597 0.597 0.173 Er
0.256 0.256 0.273 Ni
0.465 0.465 0.355 Ni
0.535 0.535 0.645 Ni
0.744 0.744 0.727 Ni
```

Results
Energy of formation in meV/atom: -382